No. 1
## TaTl2PbO4 (PBE)

Data for a relaxed TaTl2PbO4 crystal.

Results
Mass density ... 7.64 g/cm3
Uncorrected formation energy ... -1.549 eV/atom

Cell lengths 5.534, 6.245, 6.405 Å; angles 106.48, 94.68, 115.01 degrees
Positions (direct):
Ta 0.000 0.000 0.000
Tl 0.244 0.446 0.668
Tl 0.407 0.989 0.584
Pb 0.729 0.476 0.285
O 0.376 0.111 0.007
O 0.838 0.689 0.042
O 0.839 0.973 0.721
O 0.981 0.256 0.227

No. 2
## YbTaPb2O6 (PBE)

Data for a relaxed YbTaPb2O6 crystal.

Results
Mass density ... 9.54 g/cm3
Uncorrected formation energy ... -1.998 eV/atom

Cell lengths 5.970, 5.970, 5.970 Å; angles 60.00, 60.00, 60.00 degrees
Positions (direct):
Yb 0.000 0.000 0.000
Ta 0.500 0.500 0.500
Pb 0.250 0.250 0.250
Pb 0.750 0.750 0.750
O 0.264 0.264 0.736
O 0.264 0.736 0.264
O 0.264 0.736 0.736
O 0.736 0.264 0.264
O 0.736 0.264 0.736
O 0.736 0.736 0.264

No. 3
## TaZn2PbO6 (PBE)

Data for a relaxed TaZn2PbO6 crystal.

Results
Mass density ... 6.05 g/cm3
Uncorrected formation energy ... -1.637 eV/atom

Cell lengths 7.640, 7.640, 6.810 Å; angles 112.28, 112.28, 75.31 degrees
Positions (direct):
Ta 0.158 0.842 0.750
Ta 0.842 0.158 0.250
Zn 0.253 0.347 0.336
Zn 0.347 0.253 0.836
Zn 0.653 0.747 0.164
Zn 0.747 0.653 0.664
Pb 0.273 0.727 0.250
Pb 0.727 0.273 0.750
O 0.063 0.170 0.204
O 0.170 0.063 0.704
O 0.192 0.635 0.500
O 0.273 0.418 0.097
O 0.365 0.808 0.000
O 0.418 0.273 0.597
O 0.582 0.727 0.403
O 0.635 0.192 0.000
O 0.727 0.582 0.903
O 0.808 0.365 0.500
O 0.830 0.937 0.296
O 0.937 0.830 0.796

No. 4
## TaZnPb2O6 (PBE)

Data for a relaxed TaZnPb2O6 crystal.

Results
Mass density ... 9.43 g/cm3
Uncorrected formation energy ... -1.682 eV/atom

Cell lengths 5.686, 5.785, 9.888 Å; angles 90.00, 125.00, 90.00 degrees
Positions (direct):
Ta 0.000 0.000 0.000
Ta 0.000 0.500 0.500
Zn 0.500 0.000 0.500
Zn 0.500 0.500 0.000
Pb 0.257 0.037 0.751
Pb 0.257 0.463 0.251
Pb 0.743 0.537 0.749
Pb 0.743 0.963 0.249
O 0.159 0.024 0.241
O 0.159 0.476 0.741
O 0.238 0.716 0.044
O 0.238 0.784 0.544
O 0.325 0.197 0.040
O 0.325 0.303 0.540
O 0.675 0.697 0.460
O 0.675 0.803 0.960
O 0.762 0.216 0.456
O 0.762 0.284 0.956
O 0.841 0.524 0.259
O 0.841 0.976 0.759

No. 5
## Tb2PbO (PBE)

Data for a relaxed Tb2PbO crystal.

Results
Mass density ... 9.73 g/cm3
Uncorrected formation energy ... -1.791 eV/atom

Cell lengths 4.550, 4.550, 8.919 Å; angles 90.00, 90.00, 90.00 degrees
Positions (direct):
Tb 0.250 0.250 0.170
Tb 0.250 0.750 0.500
Tb 0.750 0.250 0.500
Tb 0.750 0.750 0.830
Pb 0.250 0.250 0.802
Pb 0.750 0.750 0.198
O 0.250 0.250 0.427
O 0.750 0.750 0.573

No. 6
## Tb2Pb2O (PBE)

Data for a relaxed Tb2Pb2O crystal.

Results
Mass density ... 9.62 g/cm3
Uncorrected formation energy ... -1.286 eV/atom

Cell lengths 8.431, 8.431, 8.471 Å; angles 90.00, 90.00, 154.59 degrees
Positions (direct):
Tb 0.039 0.961 0.500
Tb 0.371 0.629 0.324
Tb 0.629 0.371 0.824
Tb 0.961 0.039 0.000
Pb 0.276 0.724 0.989
Pb 0.391 0.609 0.691
Pb 0.609 0.391 0.191
Pb 0.724 0.276 0.489
O 0.063 0.937 0.769
O 0.937 0.063 0.269

The highest uncorrected formation energy belongs to which entry?
Tb2Pb2O